Entry 1:
First-principles (PBE) data for crystalline SrAlSi2Pd at its relaxed geometry, as listed in Alexandria via LeMat-Bulk.

Results
D(E_F) (states/eV per cell): 1.27
Mass density (g cm⁻³): 4.9
Uncorrected energy (eV per atom): -4.8880
Spin magnetization (μB/atom): 0.0000
Energy relative to the elements, uncorrected (eV per formula unit): -2.98

The structure in POSCAR format:
```
SrAlSi2Pd
1.0
4.218 0.000 0.000
0.000 4.218 0.000
-2.109 -2.109 5.302
Pd Sr Si Al
1 1 2 1
direct
0.250 0.750 0.500 Pd
0.000 0.000 0.000 Sr
0.385 0.385 0.770 Si
0.615 0.615 0.230 Si
0.750 0.250 0.500 Al
```

Entry 2:
First-principles (PBE) data for crystalline SrSc4Co at its relaxed geometry, as listed in Alexandria via LeMat-Bulk.

Results
D(E_F) (states/eV per cell): 13.61
Mass density (g cm⁻³): 3.4
Uncorrected energy (eV per atom): -5.0201
Spin magnetization (μB/atom): 0.3096

The structure in POSCAR format:
```
SrSc4Co
1.0
0.000 4.286 4.286
4.286 0.000 4.286
4.286 4.286 0.000
Sc Sr Co
4 1 1
direct
0.373 0.373 0.882 Sc
0.373 0.373 0.373 Sc
0.373 0.882 0.373 Sc
0.882 0.373 0.373 Sc
0.750 0.750 0.750 Sr
0.000 0.000 0.000 Co
```

Entry 3:
First-principles (PBE) data for crystalline PuPaMnPd at its relaxed geometry, as listed in Alexandria via LeMat-Bulk.

Results
D(E_F) (states/eV per cell): 7.66
Mass density (g cm⁻³): 14.6
Uncorrected energy (eV per atom): -9.6511
Spin magnetization (μB/atom): 1.7534

The structure in POSCAR format:
```
PuPaMnPd
1.0
-1.469 0.514 4.414
0.496 -3.511 3.055
3.114 0.346 3.477
Pu Pd Pa Mn
1 1 1 1
direct
0.250 0.250 0.250 Pu
0.000 0.000 0.000 Pd
0.500 0.500 0.500 Pa
0.750 0.750 0.750 Mn
```

Entry 4:
First-principles (PBE) data for crystalline Tc2OsPb at its relaxed geometry, as listed in Alexandria via LeMat-Bulk.

Results
D(E_F) (states/eV per cell): 5.54
Mass density (g cm⁻³): 14.7
Uncorrected energy (eV per atom): -8.3867
Spin magnetization (μB/atom): 0.0011

The structure in POSCAR format:
```
Tc2OsPb
1.0
-1.970 -1.745 1.313
1.935 -0.573 2.140
-2.667 6.042 4.029
Pb Os Tc
1 1 2
direct
0.500 0.500 0.750 Pb
0.500 0.500 0.250 Os
0.000 0.000 0.029 Tc
0.000 0.000 0.471 Tc
```

Entry 5:
First-principles (PBE) data for crystalline ThPa2MnN4 at its relaxed geometry, as listed in Alexandria via LeMat-Bulk.

Results
D(E_F) (states/eV per cell): 7.84
Mass density (g cm⁻³): 11.7
Uncorrected energy (eV per atom): -9.9718
Spin magnetization (μB/atom): 0.0513
Energy relative to the elements, uncorrected (eV per formula unit): -10.89

The structure in POSCAR format:
```
ThPa2MnN4
1.0
3.372 0.000 0.000
-1.686 5.858 0.000
0.000 0.000 11.523
Pa Mn Th N
4 2 2 8
direct
0.366 0.733 0.558 Pa
0.634 0.267 0.058 Pa
0.634 0.267 0.442 Pa
0.366 0.733 0.942 Pa
0.158 0.316 0.250 Mn
0.842 0.684 0.750 Mn
0.896 0.793 0.250 Th
0.104 0.207 0.750 Th
0.000 0.000 0.500 N
0.276 0.551 0.375 N
0.276 0.551 0.125 N
0.724 0.449 0.875 N
0.724 0.449 0.625 N
0.447 0.895 0.750 N
0.553 0.105 0.250 N
0.000 0.000 0.000 N
```

Entry 6:
First-principles (PBE) data for crystalline ZrFe12Ge6 at its relaxed geometry, as listed in Alexandria via LeMat-Bulk.

Results
D(E_F) (states/eV per cell): 18.68
Mass density (g cm⁻³): 7.5
Uncorrected energy (eV per atom): -7.1772
Spin magnetization (μB/atom): 1.3140

The structure in POSCAR format:
```
ZrFe12Ge6
1.0
6.720 -0.033 -0.046
-1.698 6.502 -0.046
-1.698 -2.187 6.123
Fe Ge Zr
12 6 1
direct
0.602 0.602 0.850 Fe
0.112 0.500 0.888 Fe
0.500 0.888 0.112 Fe
0.888 0.112 0.500 Fe
0.150 0.398 0.398 Fe
0.112 0.888 0.500 Fe
0.888 0.500 0.112 Fe
0.398 0.398 0.150 Fe
0.398 0.150 0.398 Fe
0.602 0.850 0.602 Fe
0.500 0.112 0.888 Fe
0.850 0.602 0.602 Fe
0.734 0.280 0.734 Ge
0.734 0.734 0.280 Ge
0.720 0.266 0.266 Ge
0.266 0.266 0.720 Ge
0.280 0.734 0.734 Ge
0.266 0.720 0.266 Ge
0.000 0.000 0.000 Zr
```

Entry 7:
First-principles (PBE) data for crystalline Nd6SiSe12 at its relaxed geometry, as listed in Alexandria via LeMat-Bulk.

Results
D(E_F) (states/eV per cell): 12.34
Mass density (g cm⁻³): 5.6
Uncorrected energy (eV per atom): -5.4334
Spin magnetization (μB/atom): 0.0001
Energy relative to the elements, uncorrected (eV per formula unit): -27.39

The structure in POSCAR format:
```
Nd6SiSe12
1.0
8.269 -0.011 -0.013
-1.264 8.172 -0.013
-1.264 -1.473 8.038
Se Nd Si
12 6 1
direct
0.980 0.304 0.055 Se
0.441 0.577 0.181 Se
0.055 0.980 0.304 Se
0.020 0.696 0.945 Se
0.559 0.423 0.819 Se
0.423 0.819 0.559 Se
0.304 0.055 0.980 Se
0.696 0.945 0.020 Se
0.819 0.559 0.423 Se
0.577 0.181 0.441 Se
0.181 0.441 0.577 Se
0.945 0.020 0.696 Se
0.635 0.294 0.132 Nd
0.132 0.635 0.294 Nd
0.365 0.706 0.868 Nd
0.868 0.365 0.706 Nd
0.294 0.132 0.635 Nd
0.706 0.868 0.365 Nd
0.000 0.000 0.000 Si
```

Entry 8:
First-principles (PBE) data for crystalline SmEr12Ni6 at its relaxed geometry, as listed in Alexandria via LeMat-Bulk.

Results
D(E_F) (states/eV per cell): 21.64
Mass density (g cm⁻³): 9.0
Uncorrected energy (eV per atom): -5.2129
Spin magnetization (μB/atom): 0.0001

The structure in POSCAR format:
```
SmEr12Ni6
1.0
-6.072 0.111 5.872
5.496 -6.173 1.749
4.024 7.428 -0.030
Er Ni Sm
12 6 1
direct
0.689 0.873 0.184 Er
0.689 0.505 0.816 Er
0.495 0.184 0.311 Er
0.873 0.184 0.689 Er
0.184 0.311 0.495 Er
0.311 0.127 0.816 Er
0.184 0.689 0.873 Er
0.505 0.816 0.689 Er
0.816 0.689 0.505 Er
0.127 0.816 0.311 Er
0.816 0.311 0.127 Er
0.311 0.495 0.184 Er
0.876 0.376 0.500 Ni
0.500 0.124 0.624 Ni
0.624 0.500 0.124 Ni
0.376 0.500 0.876 Ni
0.124 0.624 0.500 Ni
0.500 0.876 0.376 Ni
0.000 0.000 0.000 Sm
```

Entry 9:
First-principles (PBE) data for crystalline LiRhAu2 at its relaxed geometry, as listed in Alexandria via LeMat-Bulk.

Results
D(E_F) (states/eV per cell): 7.61
Mass density (g cm⁻³): 12.0
Uncorrected energy (eV per atom): -3.7961
Spin magnetization (μB/atom): 0.0191

The structure in POSCAR format:
```
LiRhAu2
1.0
-2.396 0.022 -3.028
-3.028 0.009 2.397
-2.662 9.348 -0.287
Rh Au Li
2 4 2
direct
0.750 0.250 0.500 Rh
0.000 0.000 0.000 Rh
0.875 0.872 0.750 Au
0.375 0.378 0.750 Au
0.622 0.125 0.250 Au
0.128 0.625 0.250 Au
0.500 0.500 0.000 Li
0.250 0.750 0.500 Li
```

Entry 10:
First-principles (PBE) data for crystalline Sb3AuBr at its relaxed geometry, as listed in Alexandria via LeMat-Bulk.

Results
D(E_F) (states/eV per cell): 6.70
Relative energy among the computed polymorphs (eV/f.u.): 0.00
Mass density (g cm⁻³): 6.7
Uncorrected energy (eV per atom): -3.5577
Spin magnetization (μB/atom): 0.0000
Energy relative to the elements, uncorrected (eV per formula unit): -0.47

The structure in POSCAR format:
```
Sb3AuBr
1.0
7.767 0.077 0.096
0.082 9.432 -0.902
0.082 -2.893 9.023
Br Sb Au
4 12 4
direct
0.159 0.260 0.384 Br
0.841 0.740 0.616 Br
0.341 0.616 0.740 Br
0.659 0.384 0.260 Br
0.892 0.200 0.055 Sb
0.118 0.496 0.114 Sb
0.618 0.114 0.496 Sb
0.628 0.679 0.121 Sb
0.128 0.121 0.679 Sb
0.392 0.055 0.200 Sb
0.382 0.886 0.504 Sb
0.608 0.945 0.800 Sb
0.872 0.879 0.321 Sb
0.882 0.504 0.886 Sb
0.108 0.800 0.945 Sb
0.372 0.321 0.879 Sb
0.750 0.207 0.793 Au
0.750 0.934 0.066 Au
0.250 0.066 0.934 Au
0.250 0.793 0.207 Au
```

Entry 11:
First-principles (PBE) data for crystalline K2InTe at its relaxed geometry, as listed in Alexandria via LeMat-Bulk.

Results
D(E_F) (states/eV per cell): 3.10
Relative energy among the computed polymorphs (eV/f.u.): 0.63
Mass density (g cm⁻³): 3.5
Uncorrected energy (eV per atom): -2.4137
Spin magnetization (μB/atom): 0.0002
Energy relative to the elements, uncorrected (eV per formula unit): -1.58

The structure in POSCAR format:
```
K2InTe
1.0
0.000 4.228 4.228
4.228 0.000 4.228
4.228 4.228 0.000
K In Te
2 1 1
direct
0.250 0.250 0.250 K
0.750 0.750 0.750 K
0.000 0.000 0.000 In
0.500 0.500 0.500 Te
```

Entry 12:
First-principles (PBE) data for crystalline Na2AcOs2O7 at its relaxed geometry, as listed in Alexandria via LeMat-Bulk.

Results
D(E_F) (states/eV per cell): 4.88
Mass density (g cm⁻³): 7.8
Uncorrected energy (eV per atom): -6.8923
Spin magnetization (μB/atom): 0.3797
Energy relative to the elements, uncorrected (eV per formula unit): -18.79

The structure in POSCAR format:
```
Na2AcOs2O7
1.0
4.027 0.000 0.000
0.000 4.029 0.000
-2.013 -2.015 9.983
O Na Os Ac
7 2 2 1
direct
0.300 0.300 0.601 O
0.591 0.091 0.182 O
0.409 0.909 0.818 O
0.500 0.500 0.000 O
0.909 0.409 0.818 O
0.091 0.591 0.182 O
0.700 0.700 0.399 O
0.250 0.750 0.500 Na
0.750 0.250 0.500 Na
0.604 0.604 0.209 Os
0.396 0.395 0.791 Os
0.000 0.000 0.000 Ac
```